12
Lattice="-6.206 -4.517 -5.080 2.732 -3.607 -0.130 -2.235 -2.078 10.674" Properties=species:S:1:pos:R:3 comment="GGA-PBE KGdHgTe3, optimized geometry" space_group="P2_1/m, No. 11" e_above_lowest_polymorph_ev_per_atom=0.016 pbc="T T T"
K -4.494 -4.792 -0.875
K -1.216 -5.410 6.339
Te -4.207 -7.326 -3.334
Te -4.858 -5.326 6.277
Te -3.824 -7.229 2.004
Te -1.886 -2.973 3.460
Te -1.503 -2.876 8.798
Te -0.852 -4.876 -0.813
Hg -4.335 -4.832 3.570
Hg -1.375 -5.370 1.894
Gd -4.962 -8.197 4.940
Gd -0.748 -2.006 0.524

---

24
Lattice="9.024 0.000 0.000 0.000 4.760 0.000 0.000 0.000 18.631" Properties=species:S:1:pos:R:3 comment="GGA-PBE KGdHgTe3, optimized geometry" space_group="Pnma, No. 62" e_above_lowest_polymorph_ev_per_atom=0.092 pbc="T T T"
K 0.754 1.190 5.729
K 3.758 3.570 15.044
K 5.266 1.190 3.587
K 8.270 3.570 12.902
Gd 7.001 3.570 8.561
Gd 6.534 1.190 17.876
Gd 2.490 3.570 0.755
Gd 2.022 1.190 10.070
Te 4.531 1.190 7.945
Te 0.019 1.190 1.370
Te 1.936 1.190 13.187
Te 9.005 3.570 17.261
Te 4.493 3.570 10.685
Te 3.353 1.190 17.631
Te 5.671 3.570 1.000
Te 7.864 1.190 10.315
Te 2.575 3.570 3.871
Te 7.087 3.570 5.444
Te 6.448 1.190 14.759
Te 1.159 3.570 8.316
Hg 4.096 3.570 6.288
Hg 4.928 1.190 12.343
Hg 8.608 3.570 3.028
Hg 0.416 1.190 15.603

---

24
Lattice="-0.377 -10.623 12.105 3.666 -2.057 -1.691 7.097 7.243 6.578" Properties=species:S:1:pos:R:3 comment="GGA-PBE KGdHgTe3, optimized geometry" space_group="Pnma, No. 62" e_above_lowest_polymorph_ev_per_atom=0.014 pbc="T T T"
Te 4.296 -8.743 10.845
Te 7.314 1.914 10.497
Te 3.358 -4.136 9.279
Te 5.712 0.464 2.715
Te 1.761 -0.648 1.571
Te 6.092 -1.810 12.377
Te 4.293 -3.626 4.615
Te 7.027 -1.300 7.713
Te 4.674 -5.900 14.277
Te 8.625 -4.789 15.421
Te 3.071 -7.350 6.495
Te 6.090 3.307 6.147
K 3.970 -0.132 5.735
K 6.415 -5.304 11.257
K 1.021 -8.261 9.229
K 9.365 2.825 7.763
Gd 8.564 -0.932 10.598
Gd 7.377 2.975 3.270
Gd 1.822 -4.504 6.394
Gd 3.009 -8.411 13.722
Hg 5.012 -1.606 9.787
Hg 7.266 5.813 5.649
Hg 3.119 -11.249 11.343
Hg 5.373 -3.830 7.205

---

12
Lattice="10.273 -2.236 0.000 10.273 2.236 0.000 -2.004 0.000 9.453" Properties=species:S:1:pos:R:3 comment="GGA-PBE KGdHgTe3, optimized geometry" space_group="C2/m, No. 12" e_above_lowest_polymorph_ev_per_atom=0.088 pbc="T T T"
Te 12.110 0.000 8.107
Te 13.282 0.000 2.857
Te 0.000 0.000 0.000
Te 9.271 0.000 4.727
Te 5.259 0.000 6.596
Te 6.431 0.000 1.346
K 16.840 0.000 4.075
K 1.701 0.000 5.378
Gd 3.434 0.000 0.732
Gd 15.107 0.000 8.722
Hg 10.492 0.000 2.090
Hg 8.050 0.000 7.364

---

3
Lattice="0.000 3.705 3.705 3.705 0.000 3.705 3.705 3.705 0.000" Properties=species:S:1:pos:R:3 comment="GGA-PBE LaGdHg, optimized geometry" total_energy_ev_per_atom=-3.40 space_group="F-43m, No. 216" pbc="T T T"
Hg 0.000 0.000 0.000
Gd 1.853 1.853 1.853
La 5.558 5.558 5.558

---

24
Lattice="11.175 0.000 0.000 0.000 4.162 0.000 0.000 0.000 13.269" Properties=species:S:1:pos:R:3 comment="GGA-PBE LiGdHgSe3, optimized geometry" space_group="Pnma, No. 62" e_above_lowest_polymorph_ev_per_atom=0.000 pbc="T T T"
Li 3.783 1.040 0.957
Li 9.370 1.040 5.677
Li 7.392 3.121 12.311
Li 1.805 3.121 7.591
Se 6.674 1.040 5.161
Se 1.087 1.040 1.473
Se 4.082 3.121 2.688
Se 9.542 3.121 7.702
Se 4.500 3.121 8.107
Se 3.954 3.121 12.201
Se 1.633 1.040 5.566
Se 1.505 1.040 9.322
Se 7.093 1.040 10.581
Se 7.221 1.040 1.068
Se 10.088 3.121 11.796
Se 9.670 3.121 3.947
Gd 4.268 1.040 10.100
Gd 9.855 1.040 9.802
Gd 1.320 3.121 3.466
Gd 6.907 3.121 3.168
Hg 4.134 1.040 5.005
Hg 9.721 1.040 1.629
Hg 1.453 3.121 11.639
Hg 7.041 3.121 8.263

---

Number 1: magnetization 0.000 μB/atom. Number 2: magnetization 0.000 μB/atom. Number 3: magnetization 0.000 μB/atom. Number 4: magnetization 0.002 μB/atom. Number 5: magnetization 0.088 μB/atom. Number 6: magnetization 0.001 μB/atom.